Record 1
# GdHoPuTl

A relaxed GdHoPuTl crystal (GGA-PBE, the Alexandria database).

Computed properties:
**Formation energy**: 0.024 eV/atom
**E**: -8.8148 eV/atom
**Theoretical density**: 11.29 g/cm³
**Density of states at the Fermi level**: 15.52 states/eV per cell

a b c (Å): 5.431 5.431 5.431
angles (deg): 60.00 60.00 60.00
Fractional coordinates of all 4 atoms:
Gd1 0.000 0.000 0.000
Ho1 0.500 0.500 0.500
Pu1 0.750 0.750 0.750
Tl1 0.250 0.250 0.250


Record 2
# InTcNi2

A relaxed InTcNi2 crystal (GGA-PBE, the Alexandria database).

Computed properties:
**Formation energy**: 0.276 eV/atom
**E**: -5.8906 eV/atom
**Theoretical density**: 9.49 g/cm³
**Density of states at the Fermi level**: 5.80 states/eV per cell

a b c (Å): 8.647 8.647 8.647
angles (deg): 18.66 18.66 18.66
Fractional coordinates of all 4 atoms:
In1 0.000 0.000 0.000
Tc1 0.500 0.500 0.500
Ni1 0.246 0.246 0.246
Ni2 0.754 0.754 0.754


Record 3
# NaUInI6

A relaxed NaUInI6 crystal (GGA-PBE, the Alexandria database).

Computed properties:
**E**: -3.5753 eV/atom
**Theoretical density**: 4.52 g/cm³
**Density of states at the Fermi level**: 21.58 states/eV per cell
**Energy relative to the elements, uncorrected**: -7.53 eV per formula unit

a b c (Å): 8.058 8.058 14.875
angles (deg): 90.00 90.00 120.00
Fractional coordinates of all 18 atoms:
Na1 0.333 0.667 0.250
Na2 0.667 0.333 0.750
U1 0.333 0.667 0.750
U2 0.667 0.333 0.250
In1 0.000 0.000 0.000
In2 0.000 0.000 0.500
I1 0.021 0.368 0.632
I2 0.021 0.653 0.868
I3 0.347 0.368 0.868
I4 0.347 0.979 0.632
I5 0.368 0.021 0.132
I6 0.368 0.347 0.368
I7 0.632 0.653 0.632
I8 0.632 0.979 0.868
I9 0.653 0.021 0.368
I10 0.653 0.632 0.132
I11 0.979 0.347 0.132
I12 0.979 0.632 0.368


Record 4
# CaHfGaCu2

A relaxed CaHfGaCu2 crystal (GGA-PBE, the Alexandria database).

Computed properties:
**Formation energy**: 1.099 eV/atom
**E**: -3.5359 eV/atom
**Theoretical density**: 6.35 g/cm³
**Density of states at the Fermi level**: 3.40 states/eV per cell

a b c (Å): 4.603 4.603 5.125
angles (deg): 90.00 90.00 90.00
Fractional coordinates of all 5 atoms:
Ca1 0.000 0.000 0.000
Hf1 0.500 0.500 0.500
Ga1 0.000 0.000 0.500
Cu1 0.000 0.500 0.000
Cu2 0.500 0.000 0.000


Record 5
# Nb2PdAu

A relaxed Nb2PdAu crystal (GGA-PBE, the Alexandria database).

Computed properties:
**Formation energy**: 0.424 eV/atom
**E**: -6.7283 eV/atom
**Theoretical density**: 10.14 g/cm³
**Density of states at the Fermi level**: 3.26 states/eV per cell

a b c (Å): 6.426 6.426 6.426
angles (deg): 35.53 35.53 35.53
Fractional coordinates of all 4 atoms:
Nb1 0.000 0.000 0.000
Nb2 0.188 0.188 0.188
Pd1 0.591 0.591 0.591
Au1 0.429 0.429 0.429


Record 6
# Li12CaCd6

A relaxed Li12CaCd6 crystal (GGA-PBE, the Alexandria database).

Computed properties:
**Formation energy**: -0.102 eV/atom
**E**: -1.7047 eV/atom
**Polymorph energy (0 for the lowest one)**: 0 meV per atom
**Theoretical density**: 3.37 g/cm³
**Density of states at the Fermi level**: 9.16 states/eV per cell

a b c (Å): 7.523 7.523 7.523
angles (deg): 102.03 102.03 102.03
Fractional coordinates of all 19 atoms:
Li1 0.000 0.269 0.729
Li2 0.000 0.731 0.271
Li3 0.177 0.594 0.594
Li4 0.269 0.729 0.000
Li5 0.271 0.000 0.731
Li6 0.406 0.406 0.823
Li7 0.406 0.823 0.406
Li8 0.594 0.177 0.594
Li9 0.594 0.594 0.177
Li10 0.729 0.000 0.269
Li11 0.731 0.271 0.000
Li12 0.823 0.406 0.406
Ca1 0.000 0.000 0.000
Cd1 0.178 0.446 0.180
Cd2 0.180 0.178 0.446
Cd3 0.446 0.180 0.178
Cd4 0.554 0.820 0.822
Cd5 0.820 0.822 0.554
Cd6 0.822 0.554 0.820


Record 7
# Na4Sn3

A relaxed Na4Sn3 crystal (GGA-PBE, the Alexandria database).

Computed properties:
**Formation energy**: -0.159 eV/atom
**E**: -2.6284 eV/atom
**Theoretical density**: 3.91 g/cm³
**Density of states at the Fermi level**: 3.44 states/eV per cell

a b c (Å): 5.699 5.699 7.947
angles (deg): 102.57 102.57 49.48
Fractional coordinates of all 7 atoms:
Na1 0.062 0.062 0.217
Na2 0.216 0.216 0.642
Na3 0.784 0.784 0.358
Na4 0.938 0.938 0.783
Sn1 0.344 0.344 0.070
Sn2 0.500 0.500 0.500
Sn3 0.656 0.656 0.930


Record 8
# NdRuCl

A relaxed NdRuCl crystal (GGA-PBE, the Alexandria database).

Computed properties:
**E**: -6.3938 eV/atom
**Polymorph energy (0 for the lowest one)**: 0 meV per atom
**Theoretical density**: 5.63 g/cm³
**Density of states at the Fermi level**: 3.45 states/eV per cell
**Energy relative to the elements, uncorrected**: -3.29 eV per formula unit

a b c (Å): 4.162 4.162 11.119
angles (deg): 100.85 100.85 61.82
Fractional coordinates of all 6 atoms:
Nd1 0.064 0.064 0.192
Nd2 0.936 0.936 0.808
Ru1 0.325 0.325 0.010
Ru2 0.675 0.675 0.990
Cl1 0.227 0.227 0.654
Cl2 0.773 0.773 0.346


Record 9
# Ac2Si4Ni3Ir

A relaxed Ac2Si4Ni3Ir crystal (GGA-PBE, the Alexandria database).

Computed properties:
**E**: -6.3424 eV/atom
**Theoretical density**: 8.80 g/cm³
**Density of states at the Fermi level**: 8.29 states/eV per cell
**Energy relative to the elements, uncorrected**: -7.31 eV per formula unit

a b c (Å): 4.161 4.161 10.183
angles (deg): 90.00 90.00 90.00
Fractional coordinates of all 10 atoms:
Ac1 0.000 0.500 0.242
Ac2 0.500 0.000 0.758
Si1 0.000 0.000 0.000
Si2 0.000 0.500 0.623
Si3 0.500 0.000 0.377
Si4 0.500 0.500 0.000
Ni1 0.000 0.500 0.883
Ni2 0.500 0.000 0.117
Ni3 0.500 0.500 0.500
Ir1 0.000 0.000 0.500


Record 10
# CaHf2TiFe

A relaxed CaHf2TiFe crystal (GGA-PBE, the Alexandria database).

Computed properties:
**Formation energy**: 2.198 eV/atom
**E**: -5.4547 eV/atom
**Polymorph energy (0 for the lowest one)**: 386 meV per atom
**Theoretical density**: 7.93 g/cm³
**Density of states at the Fermi level**: 6.12 states/eV per cell

a b c (Å): 4.942 4.942 4.293
angles (deg): 90.00 90.00 90.00
Fractional coordinates of all 5 atoms:
Ca1 0.000 0.000 0.000
Hf1 0.000 0.500 0.000
Hf2 0.500 0.000 0.000
Ti1 0.000 0.000 0.500
Fe1 0.500 0.500 0.500


Record 11
# Y5As2S2

A relaxed Y5As2S2 crystal (GGA-PBE, the Alexandria database).

Computed properties:
**E**: -6.9451 eV/atom
**Theoretical density**: 5.39 g/cm³
**Density of states at the Fermi level**: 15.17 states/eV per cell
**Energy relative to the elements, uncorrected**: -12.63 eV per formula unit

a b c (Å): 8.027 8.027 7.616
angles (deg): 90.00 90.00 55.82
Fractional coordinates of all 18 atoms:
Y1 0.000 0.000 0.000
Y2 0.021 0.699 0.652
Y3 0.199 0.521 0.152
Y4 0.301 0.979 0.652
Y5 0.479 0.801 0.152
Y6 0.500 0.500 0.500
Y7 0.521 0.199 0.848
Y8 0.699 0.021 0.348
Y9 0.801 0.479 0.848
Y10 0.979 0.301 0.348
As1 0.145 0.855 0.355
As2 0.355 0.645 0.855
As3 0.645 0.355 0.145
As4 0.855 0.145 0.645
S1 0.194 0.194 0.000
S2 0.306 0.306 0.500
S3 0.694 0.694 0.500
S4 0.806 0.806 0.000


Record 12
# Ca2ScP

A relaxed Ca2ScP crystal (GGA-PBE, the Alexandria database).

Computed properties:
**Formation energy**: -0.327 eV/atom
**E**: -4.2636 eV/atom
**Theoretical density**: 2.37 g/cm³
**Density of states at the Fermi level**: 4.31 states/eV per cell

a b c (Å): 3.486 3.486 9.009
angles (deg): 90.00 90.00 90.22
Fractional coordinates of all 4 atoms:
Ca1 0.000 0.000 0.182
Ca2 0.000 0.000 0.818
Sc1 0.500 0.500 0.500
P1 0.500 0.500 0.000


Record 13
# NdSmP2Rh5

A relaxed NdSmP2Rh5 crystal (GGA-PBE, the Alexandria database).

Computed properties:
**Formation energy**: -0.747 eV/atom
**E**: -7.0872 eV/atom
**Theoretical density**: 8.08 g/cm³
**Density of states at the Fermi level**: 4.30 states/eV per cell

a b c (Å): 4.068 4.068 10.816
angles (deg): 90.00 90.00 90.00
Fractional coordinates of all 9 atoms:
Nd1 0.000 0.000 0.000
Sm1 0.000 0.000 0.500
P1 0.500 0.500 0.210
P2 0.500 0.500 0.790
Rh1 0.000 0.500 0.300
Rh2 0.000 0.500 0.700
Rh3 0.500 0.000 0.300
Rh4 0.500 0.000 0.700
Rh5 0.500 0.500 0.000


Record 14
# KPuSiN3

A relaxed KPuSiN3 crystal (GGA-PBE, the Alexandria database).

Computed properties:
**E**: -8.3697 eV/atom
**Theoretical density**: 5.45 g/cm³
**Density of states at the Fermi level**: 15.14 states/eV per cell
**Energy relative to the elements, uncorrected**: -4.39 eV per formula unit

a b c (Å): 7.900 3.393 8.178
angles (deg): 90.00 100.76 90.00
Fractional coordinates of all 12 atoms:
K1 0.168 0.250 0.181
K2 0.832 0.750 0.819
Pu1 0.371 0.750 0.843
Pu2 0.629 0.250 0.157
Si1 0.093 0.250 0.601
Si2 0.907 0.750 0.399
N1 0.125 0.750 0.511
N2 0.162 0.250 0.808
N3 0.445 0.750 0.115
N4 0.555 0.250 0.885
N5 0.838 0.750 0.192
N6 0.875 0.250 0.489


Record 15
# Li2SiMo

A relaxed Li2SiMo crystal (GGA-PBE, the Alexandria database).

Computed properties:
**E**: -5.0531 eV/atom
**Theoretical density**: 4.03 g/cm³
**Density of states at the Fermi level**: 2.59 states/eV per cell
**Energy relative to the elements, uncorrected**: -0.13 eV per formula unit

a b c (Å): 2.799 4.288 4.733
angles (deg): 90.00 90.00 90.00
Fractional coordinates of all 4 atoms:
Li1 0.000 0.000 0.000
Li2 0.500 0.500 0.002
Si1 0.500 0.000 0.501
Mo1 0.000 0.500 0.501


Record 16
# K2MgRhW

A relaxed K2MgRhW crystal (GGA-PBE, the Alexandria database).

Computed properties:
**Formation energy**: 1.620 eV/atom
**E**: -3.1990 eV/atom
**Theoretical density**: 3.75 g/cm³
**Density of states at the Fermi level**: 2.54 states/eV per cell

a b c (Å): 5.870 5.870 4.996
angles (deg): 90.00 90.00 90.00
Fractional coordinates of all 5 atoms:
K1 0.000 0.500 0.000
K2 0.500 0.000 0.000
Mg1 0.000 0.000 0.500
Rh1 0.000 0.000 0.000
W1 0.500 0.500 0.500


Record 17
# TeRuBr2

A relaxed TeRuBr2 crystal (GGA-PBE, the Alexandria database).

Computed properties:
**E**: -3.7551 eV/atom
**Theoretical density**: 5.82 g/cm³
**Density of states at the Fermi level**: 5.31 states/eV per cell
**Energy relative to the elements, uncorrected**: 0.74 eV per formula unit

a b c (Å): 10.200 10.200 10.200
angles (deg): 20.20 20.20 20.20
Fractional coordinates of all 4 atoms:
Te1 0.000 0.000 0.000
Ru1 0.500 0.500 0.500
Br1 0.215 0.215 0.215
Br2 0.785 0.785 0.785


Record 18
# Ba5Au6

A relaxed Ba5Au6 crystal (GGA-PBE, the Alexandria database).

Computed properties:
**Formation energy**: -0.721 eV/atom
**E**: -3.3830 eV/atom
**Theoretical density**: 8.40 g/cm³
**Density of states at the Fermi level**: 5.04 states/eV per cell

a b c (Å): 17.042 17.042 4.534
angles (deg): 90.00 90.00 163.71
Fractional coordinates of all 11 atoms:
Ba1 0.000 0.000 0.000
Ba2 0.199 0.801 0.500
Ba3 0.386 0.614 0.000
Ba4 0.614 0.386 0.000
Ba5 0.801 0.199 0.500
Au1 0.094 0.906 0.500
Au2 0.279 0.721 0.000
Au3 0.458 0.542 0.500
Au4 0.542 0.458 0.500
Au5 0.721 0.279 0.000
Au6 0.906 0.094 0.500


Record 19
# SmHo8Sc2

A relaxed SmHo8Sc2 crystal (GGA-PBE, the Alexandria database).

Computed properties:
**Formation energy**: 0.125 eV/atom
**E**: -4.7847 eV/atom
**Polymorph energy (0 for the lowest one)**: 0 meV per atom
**Theoretical density**: 7.69 g/cm³
**Density of states at the Fermi level**: 16.84 states/eV per cell

a b c (Å): 9.159 9.159 9.159
angles (deg): 146.04 127.43 64.07
Fractional coordinates of all 11 atoms:
Sm1 0.000 0.000 0.000
Ho1 0.152 0.857 0.295
Ho2 0.164 0.664 0.500
Ho3 0.299 0.500 0.799
Ho4 0.437 0.143 0.295
Ho5 0.563 0.857 0.705
Ho6 0.701 0.500 0.201
Ho7 0.836 0.336 0.500
Ho8 0.848 0.143 0.705
Sc1 0.300 0.300 0.000
Sc2 0.700 0.700 0.000


Record 20
# MnPS2I

A relaxed MnPS2I crystal (GGA-PBE, the Alexandria database).

Computed properties:
**E**: -4.4908 eV/atom
**Polymorph energy (0 for the lowest one)**: 0 meV per atom
**Theoretical density**: 4.72 g/cm³
**Density of states at the Fermi level**: 4.94 states/eV per cell
**Energy relative to the elements, uncorrected**: 1.93 eV per formula unit

a b c (Å): 4.281 4.281 5.316
angles (deg): 90.00 90.00 90.00
Fractional coordinates of all 5 atoms:
Mn1 0.000 0.000 0.000
P1 0.000 0.000 0.500
S1 0.000 0.500 0.000
S2 0.500 0.000 0.000
I1 0.500 0.500 0.500